Below is crystalline LaOsPt2Rh at its relaxed geometry, with properties calculated at the PBE level.

Fermi-level density of states: 1.065 states/eV/atom
energy of formation: 0.851 eV per atom
symmetry: No. 123

Cell and atoms, written as CIF:
```
data_LaOsPt2Rh
_space_group_name_H-M_alt 'P 1'
_space_group_IT_number 1
_cell_length_a 4.781
_cell_length_b 5.443
_cell_length_c 4.781
_cell_angle_alpha 90.00
_cell_angle_beta 90.00
_cell_angle_gamma 90.00
loop_
_space_group_symop_operation_xyz
'x,y,z'
loop_
_atom_site_label
_atom_site_type_symbol
_atom_site_fract_x
_atom_site_fract_y
_atom_site_fract_z
La1 La 0.000 0.500 0.000
Pt1 Pt 0.500 0.000 0.000
Pt2 Pt 0.000 0.000 0.500
Os1 Os 0.000 0.000 0.000
Rh1 Rh 0.500 0.500 0.500
```

---

Below is crystalline PrZnCoH6 at its relaxed geometry, with properties calculated at the PBE level.

Fermi-level density of states: 0.198 states/eV/atom
symmetry: No. 187
total energy: -35.6 eV for the cell shown

Cell and atoms, written as CIF:
```
data_PrZnCoH6
_space_group_name_H-M_alt 'P 1'
_space_group_IT_number 1
_cell_length_a 4.447
_cell_length_b 4.447
_cell_length_c 4.450
_cell_angle_alpha 90.00
_cell_angle_beta 90.00
_cell_angle_gamma 60.00
loop_
_space_group_symop_operation_xyz
'x,y,z'
loop_
_atom_site_label
_atom_site_type_symbol
_atom_site_fract_x
_atom_site_fract_y
_atom_site_fract_z
H1 H 0.482 0.036 0.246
H2 H 0.036 0.482 0.246
H3 H 0.482 0.482 0.754
H4 H 0.482 0.482 0.246
H5 H 0.482 0.036 0.754
H6 H 0.036 0.482 0.754
Pr1 Pr 0.000 0.000 0.000
Zn1 Zn 0.667 0.667 0.500
Co1 Co 0.333 0.333 0.500
```

---

Below is crystalline Pm2HfGeN5 at its relaxed geometry, with properties calculated at the PBE level.

Fermi-level density of states: 0.578 states/eV/atom
ΔE_f (raw): -990.3 meV per atom
symmetry: No. 36

Cell and atoms, written as CIF:
```
data_Pm2HfGeN5
_space_group_name_H-M_alt 'P 1'
_space_group_IT_number 1
_cell_length_a 3.305
_cell_length_b 7.185
_cell_length_c 10.351
_cell_angle_alpha 90.00
_cell_angle_beta 90.00
_cell_angle_gamma 103.30
loop_
_space_group_symop_operation_xyz
'x,y,z'
loop_
_atom_site_label
_atom_site_type_symbol
_atom_site_fract_x
_atom_site_fract_y
_atom_site_fract_z
N1 N 0.699 0.398 0.866
N2 N 0.290 0.579 0.645
N3 N 0.054 0.109 0.045
N4 N 0.301 0.602 0.366
N5 N 0.370 0.740 0.007
N6 N 0.502 0.004 0.793
N7 N 0.710 0.421 0.145
N8 N 0.630 0.260 0.507
N9 N 0.946 0.891 0.545
N10 N 0.498 0.996 0.293
Hf1 Hf 0.781 0.562 0.502
Hf2 Hf 0.219 0.438 0.002
Pm1 Pm 0.869 0.738 0.786
Pm2 Pm 0.131 0.262 0.286
Pm3 Pm 0.118 0.236 0.706
Pm4 Pm 0.882 0.764 0.206
Ge1 Ge 0.494 0.988 0.474
Ge2 Ge 0.506 0.012 0.974
```